(1)
DFT (PBE) results for a geometry-optimized CaTb5Sm2 structure.

Results
**Energy of formation**: 0.05 eV/atom
**Volume**: 270.1 Å³ per cell
**M_tot**: 0.000 μB per formula unit

The structure in POSCAR format:
```
CaTb5Sm2
1.0
-3.522 -0.260 0.823
1.995 -9.652 5.493
1.815 8.342 2.411
Ca Tb Sm
1 5 2
Direct
0.000 0.000 0.000
0.000 0.500 0.000
0.635 0.409 0.269
0.365 0.591 0.731
0.635 0.860 0.269
0.365 0.140 0.731
0.258 0.758 0.516
0.742 0.242 0.484
```

***

(2)
DFT (PBE) results for a geometry-optimized Ca2TbSm2 structure.

Results
**E above lowest polymorph**: 0.352 eV per atom
**Energy of formation**: 0.40 eV/atom
**Volume**: 186.0 Å³ per cell
**M_tot**: 0.000 μB per formula unit

The structure in POSCAR format:
```
Ca2TbSm2
1.0
-3.898 -2.472 -0.169
0.224 -0.038 -4.613
6.494 -6.110 2.678
Ca Tb Sm
2 1 2
Direct
0.750 0.250 0.500
0.250 0.750 0.500
0.000 0.000 0.000
0.412 0.412 0.823
0.588 0.588 0.177
```

***

(3)
DFT (PBE) results for a geometry-optimized CaTb7Sm3 structure.

Results
**E above lowest polymorph**: 0.000 eV per atom
**Energy of formation**: 0.22 eV/atom
**Volume**: 384.4 Å³ per cell
**M_tot**: 0.000 μB per formula unit

The structure in POSCAR format:
```
CaTb7Sm3
1.0
-1.336 3.747 -7.756
3.809 -5.150 -3.144
-7.044 -0.777 0.838
Ca Tb Sm
1 7 3
Direct
0.446 0.333 0.667
0.114 0.165 0.835
0.114 0.165 0.330
0.123 0.667 0.333
0.446 0.831 0.169
0.446 0.338 0.169
0.446 0.831 0.662
0.114 0.670 0.835
0.789 0.503 0.497
0.789 0.503 0.006
0.789 0.994 0.497
```

***

(4)
DFT (PBE) results for a geometry-optimized Ca2TbSm structure.

Results
**E above lowest polymorph**: 0.110 eV per atom
**Energy of formation**: 0.16 eV/atom
**Volume**: 144.1 Å³ per cell
**M_tot**: 0.001 μB per formula unit

The structure in POSCAR format:
```
Ca2TbSm
1.0
-3.013 4.196 2.136
-0.766 -2.703 4.229
4.207 1.987 2.032
Ca Tb Sm
2 1 1
Direct
0.000 0.000 0.500
0.000 0.500 0.000
0.500 0.500 0.500
0.500 0.000 0.000
```